# 1
# CdAuBr2 | Alexandria | PBE | optimized geometry
# Energy relative to the lowest polymorph listed for this composition, meV/atom: 179.8
# Spin magnetization, μB/atom: 0.000
# Final energy, eV/atom: -1.969
data_CdAuBr2
_cell_length_a 4.0448
_cell_length_b 7.1985
_cell_length_c 7.9468
_cell_angle_alpha 90.00
_cell_angle_beta 90.00
_cell_angle_gamma 90.00
_symmetry_space_group_name_H-M 'I m m m'
_symmetry_Int_Tables_number 71
_symmetry_space_group_name_Hall '-I 2 2'
loop_
_atom_site_label
_atom_site_fract_x
_atom_site_fract_y
_atom_site_fract_z
Cd1 0.0000 0.0000 0.0000
Au1 0.0000 0.0000 0.5000
Br1 0.0000 0.5000 0.2373

=====

# 2
# Y2IF | Alexandria | PBE | optimized geometry
# Energy relative to the lowest polymorph listed for this composition, meV/atom: 474.2
# Spin magnetization, μB/atom: 0.000
# Final energy, eV/atom: -5.011
data_Y2IF
_cell_length_a 7.1534
_cell_length_b 7.1534
_cell_length_c 7.1534
_cell_angle_alpha 90.00
_cell_angle_beta 90.00
_cell_angle_gamma 90.00
_symmetry_space_group_name_H-M 'F m -3 m'
_symmetry_Int_Tables_number 225
_symmetry_space_group_name_Hall '-F 4 2 3'
loop_
_atom_site_label
_atom_site_fract_x
_atom_site_fract_y
_atom_site_fract_z
Y1 0.2500 0.2500 0.2500
I1 0.0000 0.0000 0.0000
F1 0.0000 0.0000 0.5000

=====

# 3
# GaAsSe2 | Alexandria | PBE | optimized geometry
# Energy relative to the lowest polymorph listed for this composition, meV/atom: 274.4
# Spin magnetization, μB/atom: 0.000
# Final energy, eV/atom: -3.448
data_GaAsSe2
_cell_length_a 6.8680
_cell_length_b 6.8680
_cell_length_c 6.8680
_cell_angle_alpha 90.00
_cell_angle_beta 90.00
_cell_angle_gamma 90.00
_symmetry_space_group_name_H-M 'F m -3 m'
_symmetry_Int_Tables_number 225
_symmetry_space_group_name_Hall '-F 4 2 3'
loop_
_atom_site_label
_atom_site_fract_x
_atom_site_fract_y
_atom_site_fract_z
Ga1 0.0000 0.0000 0.0000
As1 0.0000 0.0000 0.5000
Se1 0.2500 0.2500 0.2500

=====

Repeat the second record exactly.
# Y2IF | Alexandria | PBE | optimized geometry
# Energy relative to the lowest polymorph listed for this composition, meV/atom: 474.2
# Spin magnetization, μB/atom: 0.000
# Final energy, eV/atom: -5.011
data_Y2IF
_cell_length_a 7.1534
_cell_length_b 7.1534
_cell_length_c 7.1534
_cell_angle_alpha 90.00
_cell_angle_beta 90.00
_cell_angle_gamma 90.00
_symmetry_space_group_name_H-M 'F m -3 m'
_symmetry_Int_Tables_number 225
_symmetry_space_group_name_Hall '-F 4 2 3'
loop_
_atom_site_label
_atom_site_fract_x
_atom_site_fract_y
_atom_site_fract_z
Y1 0.2500 0.2500 0.2500
I1 0.0000 0.0000 0.0000
F1 0.0000 0.0000 0.5000

=====

Q: Which formula does entry 3 have?
A: GaAsSe2